Entry 1:
12
Lattice="3.735 0.000 0.000 0.000 4.930 0.000 0.000 0.000 9.006" Properties=species:S:1:pos:R:3 comment="NiRhS, relaxed, DFT PBE" m_tot_mub_per_cell=0.00 dft_energy_ev_per_atom=-5.897 spacegroup="No. 26" formation_energy_uncorrected_ev_per_atom=-0.1432 vol_a3_per_cell=165.8 pbc="T T T"
Rh 1.040 2.465 0.013
Rh 2.695 2.465 4.516
Rh 1.815 0.000 5.401
Rh 1.920 0.000 0.898
S 1.920 2.465 2.158
S 1.815 2.465 6.661
S 0.064 0.000 8.590
S 3.671 0.000 4.087
Ni 3.699 1.242 6.813
Ni 0.036 1.242 2.310
Ni 3.699 3.688 6.813
Ni 0.036 3.688 2.310

Entry 2:
15
Lattice="3.903 0.000 0.000 0.000 8.487 -4.900 0.000 0.000 9.800" Properties=species:S:1:pos:R:3 comment="Tm8PS6, relaxed, DFT PBE" m_tot_mub_per_cell=0.00 dft_energy_ev_per_atom=-5.846 spacegroup="No. 147" formation_energy_uncorrected_ev_per_atom=-1.4495 vol_a3_per_cell=324.6 pbc="T T T"
Tm 0.989 5.658 0.000
Tm 1.011 2.438 1.710
Tm 2.891 2.700 -1.256
Tm 1.011 5.787 6.156
Tm 2.913 2.829 4.900
Tm 1.011 0.262 6.833
Tm 2.891 6.049 3.189
Tm 2.891 8.225 -1.933
S 2.941 5.533 -1.898
S 2.941 7.364 0.841
S 0.962 4.410 3.842
S 2.941 4.077 1.058
S 0.962 2.954 6.798
S 0.962 1.123 4.059
P 1.951 0.000 0.000

Entry 3:
8
Lattice="-1.840 -4.361 2.251 6.435 -1.776 1.820 -3.887 3.834 4.250" Properties=species:S:1:pos:R:3 comment="LaTlHg6, relaxed, DFT PBE" m_tot_mub_per_cell=0.00 dft_energy_ev_per_atom=-1.345 spacegroup="No. 38" e_form_ev_per_atom=-0.21 vol_a3_per_cell=216.9 pbc="T T T"
Hg 1.466 -2.606 2.253
Hg 2.224 0.513 2.812
Hg 0.172 2.520 5.022
Hg 4.606 -3.462 3.160
Hg -1.148 1.454 1.879
Hg 2.724 -1.589 5.249
Tl -0.490 -0.693 4.360
La -3.045 3.377 4.052

Entry 4:
6
Lattice="4.624 0.000 0.000 0.000 3.653 -1.401 0.000 0.300 6.335" Properties=species:S:1:pos:R:3 comment="PrHPd, relaxed, DFT PBE" m_tot_mub_per_cell=0.00 dft_energy_ev_per_atom=-5.058 spacegroup="No. 4" vol_a3_per_cell=108.9 pbc="T T T"
Pd 1.374 2.076 4.179
Pd 3.686 1.432 2.471
Pr 3.741 0.493 5.509
Pr 1.429 3.015 1.142
H 2.602 0.907 1.109
H 0.291 2.301 -0.794

Entry 5:
12
Lattice="6.155 0.001 -0.001 -3.075 5.331 -0.001 -1.021 -1.768 11.505" Properties=species:S:1:pos:R:3 comment="Nd3Dy2HoTm6, relaxed, DFT PBE" m_tot_mub_per_cell=0.00 dft_energy_ev_per_atom=-4.554 spacegroup="No. 12" e_form_ev_per_atom=0.02 vol_a3_per_cell=377.5 pbc="T T T"
Dy 0.002 3.554 -0.001
Dy 3.078 1.778 -0.001
Tm 0.005 3.561 8.668
Tm 0.004 0.006 8.669
Tm -1.023 1.780 2.834
Tm 2.053 0.004 2.834
Tm 3.082 1.784 8.668
Tm 2.055 3.558 2.834
Nd 1.029 1.782 5.751
Nd 4.106 0.005 5.751
Nd -2.047 3.559 5.751
Ho 0.000 0.000 0.000

Entry 6:
4
Lattice="-4.382 1.110 -1.693 -1.334 -3.041 -3.504 1.723 -0.680 4.458" Properties=species:S:1:pos:R:3 comment="CuPt2W, relaxed, DFT PBE" m_tot_mub_per_cell=0.00 dft_energy_ev_per_atom=-7.364 spacegroup="No. 119" e_form_ev_per_atom=-0.08 vol_a3_per_cell=59.3 pbc="T T T"
Pt -1.234 -2.343 -0.823
Pt 0.000 0.000 0.000
Cu -2.759 -0.267 0.083
W -2.858 -0.965 -2.599

Q: What is the formula in the fifth record?
A: Nd3Dy2HoTm6